(1)
Crystalline YNi2Sb at its relaxed geometry, computed with GGA-PBE.

a = 4.316 Å, b = 4.316 Å, c = 5.207 Å
α = 65.40°, β = 65.40°, γ = 59.94°
Positions (direct):
Sb 0.750 0.750 0.750
Ni 0.044 0.044 0.868
Ni 0.456 0.456 0.632
Y 0.250 0.250 0.250

Results
Raw total energy   -6.049 eV/atom
Volume   18.4 A^3/atom
Total magnetic moment   0.00 μB per formula unit
Density of states at the Fermi level   1.96 states/eV per cell
SG   C2/m (12)

---

(2)
Crystalline Cu2AgS at its relaxed geometry, computed with GGA-PBE.

a = 3.821 Å, b = 5.934 Å, c = 11.062 Å
α = 90.02°, β = 90.00°, γ = 90.00°
Positions (direct):
Ag 0.250 0.927 0.750
Ag 0.750 0.573 0.750
Ag 0.750 0.073 0.250
Ag 0.250 0.427 0.250
S 0.999 0.250 0.608
S 0.001 0.750 0.392
S 0.499 0.250 0.892
S 0.501 0.750 0.108
Cu 0.243 0.100 0.065
Cu 0.757 0.399 0.064
Cu 0.257 0.600 0.565
Cu 0.743 0.400 0.435
Cu 0.257 0.101 0.436
Cu 0.243 0.601 0.936
Cu 0.743 0.899 0.564
Cu 0.757 0.900 0.935

Results
Raw total energy   -3.733 eV/atom
Volume   15.7 A^3/atom
Total magnetic moment   0.00 μB per formula unit
Density of states at the Fermi level   2.96 states/eV per cell
SG   Pnna (52)

---

(3)
Crystalline HfGaFeC2 at its relaxed geometry, computed with GGA-PBE.

a = 4.201 Å, b = 5.206 Å, c = 4.201 Å
α = 90.00°, β = 90.00°, γ = 90.00°
Positions (direct):
Ga 0.000 0.500 0.000
C 0.500 0.000 0.000
C 0.000 0.000 0.500
Fe 0.500 0.500 0.500
Hf 0.000 0.000 0.000

Results
Volume   18.4 A^3/atom
Total magnetic moment   0.07 μB per formula unit
ΔE_f   2.13 eV per atom
Density of states at the Fermi level   7.82 states/eV per cell
SG   P4/mmm (123)

---

(4)
Crystalline Pu2MgGa4 at its relaxed geometry, computed with GGA-PBE.

a = 4.472 Å, b = 5.706 Å, c = 7.323 Å
α = 120.15°, β = 72.11°, γ = 113.08°
Positions (direct):
Ga 0.650 0.555 0.754
Ga 0.350 0.445 0.246
Ga 0.899 0.733 0.435
Ga 0.101 0.267 0.565
Mg 0.000 0.500 0.000
Pu 0.348 0.959 0.763
Pu 0.652 0.041 0.237

Results
Volume   21.0 A^3/atom
Total magnetic moment   11.71 μB per formula unit
ΔE_f   -0.28 eV per atom
Offset from the most stable computed form   0 meV/atom
Density of states at the Fermi level   19.17 states/eV per cell
SG   P-1 (2)

---

(5)
Crystalline SnBiTe2I at its relaxed geometry, computed with GGA-PBE.

a = 5.776 Å, b = 5.776 Å, c = 5.730 Å
α = 90.00°, β = 90.00°, γ = 90.00°
Positions (direct):
Sn 0.000 0.000 0.000
I 0.000 0.000 0.500
Te 0.000 0.500 0.000
Te 0.500 0.000 0.000
Bi 0.500 0.500 0.500

Results
Volume   38.2 A^3/atom
Total magnetic moment   0.00 μB per formula unit
Offset from the most stable computed form   28 meV/atom
Density of states at the Fermi level   4.58 states/eV per cell
SG   P4/mmm (123)

---

(6)
Crystalline Na2Sn4S9 at its relaxed geometry, computed with GGA-PBE.

a = 6.677 Å, b = 6.677 Å, c = 18.040 Å
α = 89.97°, β = 89.98°, γ = 60.00°
Positions (direct):
S 0.618 0.038 0.080
S 0.344 0.618 0.080
S 0.000 0.322 0.750
S 0.678 0.000 0.750
S 0.322 0.000 0.250
S 0.962 0.656 0.920
S 0.656 0.962 0.420
S 0.382 0.962 0.920
S 0.344 0.038 0.580
S 0.962 0.382 0.420
S 0.677 0.322 0.250
S 0.656 0.382 0.920
S 0.323 0.678 0.750
S 0.618 0.344 0.580
S 0.038 0.344 0.080
S 0.038 0.618 0.580
S 0.382 0.656 0.420
S 0.000 0.678 0.250
Na 0.999 0.000 0.148
Na 0.001 0.000 0.852
Na 0.999 0.000 0.352
Na 0.001 0.000 0.648
Sn 0.333 0.333 0.482
Sn 0.334 0.333 0.687
Sn 0.666 0.667 0.313
Sn 0.667 0.667 0.813
Sn 0.667 0.667 0.018
Sn 0.333 0.333 0.982
Sn 0.333 0.333 0.187
Sn 0.667 0.667 0.518

Results
Raw total energy   -4.185 eV/atom
Volume   23.2 A^3/atom
Total magnetic moment   0.00 μB per formula unit
Density of states at the Fermi level   5.38 states/eV per cell
SG   C2/c (15)